Record 1
The following is a PBE-GGA calculation of a relaxed structure of LaMg2Sb2, from Alexandria.

a = 8.275 Å, b = 8.275 Å, c = 3.811 Å
α = 90.00°, β = 90.00°, γ = 90.00°
Element x y z (fractional)
La (0.000, 0.000, 0.000)
La (0.500, 0.500, 0.000)
Mg (0.121, 0.379, 0.000)
Mg (0.379, 0.879, 0.000)
Mg (0.621, 0.121, 0.000)
Mg (0.879, 0.621, 0.000)
Sb (0.178, 0.678, 0.500)
Sb (0.322, 0.178, 0.500)
Sb (0.678, 0.822, 0.500)
Sb (0.822, 0.322, 0.500)

Computed properties:
Total energy (eV for the cell shown): -37.27

Record 2
The following is a PBE-GGA calculation of a relaxed structure of La2MgSb, from Alexandria.

a = 5.916 Å, b = 5.916 Å, c = 5.916 Å
α = 129.61°, β = 129.61°, γ = 74.03°
Element x y z (fractional)
La (0.250, 0.750, 0.500)
La (0.750, 0.250, 0.500)
Mg (0.000, 0.000, 0.000)
Sb (0.500, 0.500, 0.000)

Computed properties:
Total energy (eV for the cell shown): -17.85
Relative energy among the computed polymorphs (eV/f.u.): 0.17

What theoretical density values result from the calculations? In sequence: 5.5; 5.9 g/cm³.